Sr2Zn7Cd | GGA-PBE | optimized geometry

Cell: 4.416 4.416 11.081 Å, 90.00 90.00 90.00°
Fractional positions:
Sr1 0.000 0.500 0.240
Sr2 0.500 0.000 0.760
Zn1 0.000 0.000 0.000
Zn2 0.000 0.500 0.645
Zn3 0.000 0.500 0.877
Zn4 0.500 0.000 0.123
Zn5 0.500 0.000 0.355
Zn6 0.500 0.500 0.000
Zn7 0.500 0.500 0.500
Cd1 0.000 0.000 0.500

- SG: P-4m2, No. 115
- Energy of formation from the pure elements: -0.219 eV per atom